No. 1
{
  "formula": "AlCr4Cu3O12",
  "functional": "PBE with a Hubbard U",
  "state": "relaxed",
  "density_g_cm3": 5.2,
  "magmom_total_mub_per_fu": 12.0,
  "dft_energy_ev_per_atom": -6.58,
  "spacegroup": "Im-3 (204)",
  "lattice_angstrom": [[5.256, 3.067, 1.825], [-4.939, 2.030, 3.442], [0.775, -6.243, 0.886]],
  "species": ["Cu", "O", "Cr", "Al", "Cu", "Cr", "O", "O", "Cr", "Cu", "O", "O", "O", "O", "O", "O", "Cr", "O", "O", "O"],
  "frac_coords": [[0.500, 0.000, 0.500], [0.139, 0.835, 0.303], [0.500, 0.000, 0.000], [0.000, 0.000, 0.000], [0.500, 0.500, 0.000], [0.000, 0.000, 0.500], [0.835, 0.303, 0.139], [0.835, 0.697, 0.532], [0.000, 0.500, 0.000], [0.000, 0.500, 0.500], [0.861, 0.165, 0.697], [0.468, 0.165, 0.303], [0.532, 0.835, 0.697], [0.303, 0.139, 0.835], [0.165, 0.697, 0.861], [0.697, 0.532, 0.835], [0.500, 0.500, 0.500], [0.697, 0.861, 0.165], [0.165, 0.303, 0.468], [0.303, 0.468, 0.165]]
}

No. 2
{
  "formula": "Sr2AlCrCu2O7",
  "functional": "PBE with a Hubbard U",
  "state": "relaxed",
  "density_g_cm3": 4.8,
  "magmom_total_mub_per_fu": 2.5,
  "dft_energy_ev_per_atom": -6.32,
  "spacegroup": "Cm (8)",
  "lattice_angstrom": [[-9.184, -3.990, -6.802], [3.716, 1.402, 11.435], [-4.292, 2.258, 2.368]],
  "species": ["O", "Sr", "Cr", "Cu", "Cu", "O", "Sr", "O", "O", "Sr", "O", "O", "O", "Cu", "Al", "Cr", "O", "Al", "O", "O", "O", "O", "O", "O", "Cu", "Sr"],
  "frac_coords": [[0.624, 0.234, 0.977], [0.125, 0.335, 0.018], [0.317, 0.317, 0.477], [0.062, 0.447, 0.478], [0.556, 0.944, 0.481], [0.294, 0.143, 0.514], [0.872, 0.662, 0.976], [0.717, 0.858, 0.419], [0.143, 0.294, 0.514], [0.662, 0.872, 0.976], [0.775, 0.383, 0.325], [0.269, 0.877, 0.980], [0.877, 0.269, 0.980], [0.447, 0.062, 0.478], [0.003, 0.504, 0.976], [0.670, 0.670, 0.614], [0.383, 0.775, 0.325], [0.504, 0.003, 0.976], [0.234, 0.624, 0.977], [0.638, 0.638, 0.982], [0.123, 0.733, 0.627], [0.351, 0.351, 0.819], [0.858, 0.717, 0.419], [0.733, 0.123, 0.627], [0.944, 0.556, 0.481], [0.335, 0.125, 0.018]]
}